# CoCu2Br4 GGA-PBE optimized geometry
data_CoCu2Br4
_chemical_formula_sum 'Co1 Cu2 Br4'
_space_group_name_H-M_alt 'P 1'
_space_group_IT_number 1
_cell_length_a 7.297
_cell_length_b 7.297
_cell_length_c 7.297
_cell_angle_alpha 133.56
_cell_angle_beta 133.56
_cell_angle_gamma 67.78
loop_
_space_group_symop_operation_xyz
'x,y,z'
loop_
_atom_site_label
_atom_site_type_symbol
_atom_site_fract_x
_atom_site_fract_y
_atom_site_fract_z
Co1 Co 0.000 0.000 0.000
Cu1 Cu 0.000 0.500 0.500
Cu2 Cu 0.500 0.000 0.500
Br1 Br 0.124 0.641 0.000
Br2 Br 0.359 0.359 0.484
Br3 Br 0.641 0.124 0.000
Br4 Br 0.876 0.876 0.516
# ρ = 4188 kg/m³
# uncorrected formation energy = -1.9 eV per formula unit



# Co2CuBr GGA-PBE optimized geometry
data_Co2CuBr
_chemical_formula_sum 'Co2 Cu1 Br1'
_space_group_name_H-M_alt 'P 1'
_space_group_IT_number 1
_cell_length_a 3.152
_cell_length_b 3.152
_cell_length_c 5.992
_cell_angle_alpha 90.00
_cell_angle_beta 90.00
_cell_angle_gamma 90.00
loop_
_space_group_symop_operation_xyz
'x,y,z'
loop_
_atom_site_label
_atom_site_type_symbol
_atom_site_fract_x
_atom_site_fract_y
_atom_site_fract_z
Co1 Co 0.000 0.000 0.193
Co2 Co 0.000 0.000 0.807
Cu1 Cu 0.500 0.500 0.000
Br1 Br 0.500 0.500 0.500
# ρ = 7287 kg/m³
# ΔE to the lowest computed polymorph = 16.06 kJ/mol of atoms
# uncorrected formation energy = 2.2 eV per formula unit



# CoCu2Br5 GGA-PBE optimized geometry
data_CoCu2Br5
_chemical_formula_sum 'Co1 Cu2 Br5'
_space_group_name_H-M_alt 'P 1'
_space_group_IT_number 1
_cell_length_a 7.545
_cell_length_b 7.545
_cell_length_c 6.259
_cell_angle_alpha 108.07
_cell_angle_beta 108.07
_cell_angle_gamma 58.51
loop_
_space_group_symop_operation_xyz
'x,y,z'
loop_
_atom_site_label
_atom_site_type_symbol
_atom_site_fract_x
_atom_site_fract_y
_atom_site_fract_z
Co1 Co 0.000 0.000 0.000
Cu1 Cu 0.177 0.701 0.620
Cu2 Cu 0.701 0.177 0.620
Br1 Br 0.355 0.836 0.961
Br2 Br 0.363 0.363 0.406
Br3 Br 0.821 0.821 0.707
Br4 Br 0.836 0.355 0.961
Br5 Br 0.999 0.999 0.377
# ρ = 3423 kg/m³
# uncorrected formation energy = -2.3 eV per formula unit



# CoCu2Br2 GGA-PBE optimized geometry
data_CoCu2Br2
_chemical_formula_sum 'Co1 Cu2 Br2'
_space_group_name_H-M_alt 'P 1'
_space_group_IT_number 1
_cell_length_a 9.910
_cell_length_b 9.910
_cell_length_c 9.910
_cell_angle_alpha 160.70
_cell_angle_beta 160.70
_cell_angle_gamma 27.42
loop_
_space_group_symop_operation_xyz
'x,y,z'
loop_
_atom_site_label
_atom_site_type_symbol
_atom_site_fract_x
_atom_site_fract_y
_atom_site_fract_z
Co1 Co 0.000 0.000 0.000
Cu1 Cu 0.250 0.750 0.500
Cu2 Cu 0.750 0.250 0.500
Br1 Br 0.418 0.418 0.000
Br2 Br 0.582 0.582 0.000
# ρ = 5406 kg/m³
# uncorrected formation energy = 2.4 eV per formula unit



# CoCu4Br GGA-PBE optimized geometry
data_CoCu4Br
_chemical_formula_sum 'Co1 Cu4 Br1'
_space_group_name_H-M_alt 'P 1'
_space_group_IT_number 1
_cell_length_a 4.954
_cell_length_b 4.954
_cell_length_c 4.954
_cell_angle_alpha 60.00
_cell_angle_beta 60.00
_cell_angle_gamma 60.00
loop_
_space_group_symop_operation_xyz
'x,y,z'
loop_
_atom_site_label
_atom_site_type_symbol
_atom_site_fract_x
_atom_site_fract_y
_atom_site_fract_z
Co1 Co 0.000 0.000 0.000
Cu1 Cu 0.122 0.626 0.626
Cu2 Cu 0.626 0.122 0.626
Cu3 Cu 0.626 0.626 0.122
Cu4 Cu 0.626 0.626 0.626
Br1 Br 0.250 0.250 0.250
# ρ = 7591 kg/m³
# uncorrected formation energy = 3.3 eV per formula unit



# Co2CuBr GGA-PBE optimized geometry
data_Co2CuBr
_chemical_formula_sum 'Co2 Cu1 Br1'
_space_group_name_H-M_alt 'P 1'
_space_group_IT_number 1
_cell_length_a 2.841
_cell_length_b 2.841
_cell_length_c 8.110
_cell_angle_alpha 90.00
_cell_angle_beta 90.00
_cell_angle_gamma 115.62
loop_
_space_group_symop_operation_xyz
'x,y,z'
loop_
_atom_site_label
_atom_site_type_symbol
_atom_site_fract_x
_atom_site_fract_y
_atom_site_fract_z
Co1 Co 0.000 0.000 0.237
Co2 Co 0.000 0.000 0.763
Cu1 Cu 0.500 0.500 0.000
Br1 Br 0.500 0.500 0.500
# ρ = 7349 kg/m³
# ΔE to the lowest computed polymorph = 40.01 kJ/mol of atoms
# uncorrected formation energy = 3.2 eV per formula unit



# Co2CuBr GGA-PBE optimized geometry
data_Co2CuBr
_chemical_formula_sum 'Co4 Cu2 Br2'
_space_group_name_H-M_alt 'P 1'
_space_group_IT_number 1
_cell_length_a 6.742
_cell_length_b 6.742
_cell_length_c 6.742
_cell_angle_alpha 133.46
_cell_angle_beta 133.46
_cell_angle_gamma 67.93
loop_
_space_group_symop_operation_xyz
'x,y,z'
loop_
_atom_site_label
_atom_site_type_symbol
_atom_site_fract_x
_atom_site_fract_y
_atom_site_fract_z
Co1 Co 0.113 0.625 0.988
Co2 Co 0.375 0.363 0.488
Co3 Co 0.637 0.125 0.012
Co4 Co 0.875 0.887 0.512
Cu1 Cu 0.000 0.000 0.000
Cu2 Cu 0.750 0.250 0.500
Br1 Br 0.250 0.750 0.500
Br2 Br 0.500 0.500 0.000
# ρ = 5471 kg/m³
# ΔE to the lowest computed polymorph = 53.66 kJ/mol of atoms
# uncorrected formation energy = 3.8 eV per formula unit



# Co2CuBr GGA-PBE optimized geometry
data_Co2CuBr
_chemical_formula_sum 'Co2 Cu1 Br1'
_space_group_name_H-M_alt 'P 1'
_space_group_IT_number 1
_cell_length_a 3.116
_cell_length_b 3.116
_cell_length_c 6.140
_cell_angle_alpha 90.00
_cell_angle_beta 90.00
_cell_angle_gamma 90.00
loop_
_space_group_symop_operation_xyz
'x,y,z'
loop_
_atom_site_label
_atom_site_type_symbol
_atom_site_fract_x
_atom_site_fract_y
_atom_site_fract_z
Co1 Co 0.000 0.000 0.000
Co2 Co 0.500 0.500 0.175
Cu1 Cu 0.000 0.000 0.397
Br1 Br 0.500 0.500 0.710
# ρ = 7279 kg/m³
# ΔE to the lowest computed polymorph = 8.48 kJ/mol of atoms
# uncorrected formation energy = 1.9 eV per formula unit



# Co2CuBr GGA-PBE optimized geometry
data_Co2CuBr
_chemical_formula_sum 'Co2 Cu1 Br1'
_space_group_name_H-M_alt 'P 1'
_space_group_IT_number 1
_cell_length_a 4.246
_cell_length_b 4.246
_cell_length_c 4.246
_cell_angle_alpha 60.00
_cell_angle_beta 60.00
_cell_angle_gamma 60.00
loop_
_space_group_symop_operation_xyz
'x,y,z'
loop_
_atom_site_label
_atom_site_type_symbol
_atom_site_fract_x
_atom_site_fract_y
_atom_site_fract_z
Co1 Co 0.250 0.250 0.250
Co2 Co 0.750 0.750 0.750
Cu1 Cu 0.000 0.000 0.000
Br1 Br 0.500 0.500 0.500
# ρ = 8018 kg/m³
# ΔE to the lowest computed polymorph = 37.50 kJ/mol of atoms
# uncorrected formation energy = 3.1 eV per formula unit



# Co2CuBr GGA-PBE optimized geometry
data_Co2CuBr
_chemical_formula_sum 'Co2 Cu1 Br1'
_space_group_name_H-M_alt 'P 1'
_space_group_IT_number 1
_cell_length_a 4.794
_cell_length_b 4.794
_cell_length_c 4.794
_cell_angle_alpha 134.27
_cell_angle_beta 134.27
_cell_angle_gamma 66.67
loop_
_space_group_symop_operation_xyz
'x,y,z'
loop_
_atom_site_label
_atom_site_type_symbol
_atom_site_fract_x
_atom_site_fract_y
_atom_site_fract_z
Co1 Co 0.250 0.750 0.500
Co2 Co 0.750 0.250 0.500
Cu1 Cu 0.000 0.000 0.000
Br1 Br 0.500 0.500 0.000
# ρ = 7803 kg/m³
# ΔE to the lowest computed polymorph = 38.04 kJ/mol of atoms
# uncorrected formation energy = 3.1 eV per formula unit



# Co2CuBr GGA-PBE optimized geometry
data_Co2CuBr
_chemical_formula_sum 'Co2 Cu1 Br1'
_space_group_name_H-M_alt 'P 1'
_space_group_IT_number 1
_cell_length_a 3.152
_cell_length_b 3.011
_cell_length_c 6.639
_cell_angle_alpha 90.00
_cell_angle_beta 90.12
_cell_angle_gamma 90.00
loop_
_space_group_symop_operation_xyz
'x,y,z'
loop_
_atom_site_label
_atom_site_type_symbol
_atom_site_fract_x
_atom_site_fract_y
_atom_site_fract_z
Co1 Co 0.000 0.000 0.000
Co2 Co 0.499 0.500 0.838
Cu1 Cu 0.998 0.000 0.629
Br1 Br 0.003 0.500 0.306
# ρ = 6887 kg/m³
# ΔE to the lowest computed polymorph = 0.00 kJ/mol of atoms
# uncorrected formation energy = 1.6 eV per formula unit



# CoCu2Br6 GGA-PBE optimized geometry
data_CoCu2Br6
_chemical_formula_sum 'Co2 Cu4 Br12'
_space_group_name_H-M_alt 'P 1'
_space_group_IT_number 1
_cell_length_a 9.254
_cell_length_b 9.254
_cell_length_c 6.392
_cell_angle_alpha 92.99
_cell_angle_beta 92.99
_cell_angle_gamma 75.58
loop_
_space_group_symop_operation_xyz
'x,y,z'
loop_
_atom_site_label
_atom_site_type_symbol
_atom_site_fract_x
_atom_site_fract_y
_atom_site_fract_z
Co1 Co 0.079 0.921 0.750
Co2 Co 0.921 0.079 0.250
Cu1 Cu 0.308 0.488 0.716
Cu2 Cu 0.488 0.308 0.216
Cu3 Cu 0.512 0.692 0.784
Cu4 Cu 0.692 0.512 0.284
Br1 Br 0.021 0.159 0.581
Br2 Br 0.123 0.671 0.876
Br3 Br 0.159 0.021 0.081
Br4 Br 0.277 0.469 0.349
Br5 Br 0.329 0.877 0.624
Br6 Br 0.469 0.277 0.849
Br7 Br 0.531 0.723 0.151
Br8 Br 0.671 0.123 0.376
Br9 Br 0.723 0.531 0.651
Br10 Br 0.841 0.979 0.919
Br11 Br 0.877 0.329 0.124
Br12 Br 0.979 0.841 0.419
# ρ = 4178 kg/m³
# ΔE to the lowest computed polymorph = 1.46 kJ/mol of atoms
# uncorrected formation energy = -2.4 eV per formula unit



> Which of these has the highest ρ?

number 9